# LiTmCr2O8

A geometry-optimized LiTmCr2O8 structure (GGA+U, Alexandria via LeMat-Bulk).

Calculated values
For the raw total energy, the calculation gives -83.435 eV/f.u.

Structure (CIF):
```
data_LiTmCr2O8
_chemical_formula_sum 'Li1 Tm1 Cr2 O8'
_symmetry_space_group_name_H-M 'P 1'
_symmetry_Int_Tables_number 1
_symmetry_space_group_name_Hall 'P 1'
_cell_length_a 5.871
_cell_length_b 5.871
_cell_length_c 5.871
_cell_angle_alpha 105.89
_cell_angle_beta 105.89
_cell_angle_gamma 116.89
loop_
_atom_site_label
_atom_site_type_symbol
_atom_site_fract_x
_atom_site_fract_y
_atom_site_fract_z
_atom_site_occupancy
Li1 Li 0.000 0.000 0.000 1
Tm1 Tm 0.250 0.750 0.500 1
Cr1 Cr 0.500 0.500 0.000 1
Cr2 Cr 0.750 0.250 0.500 1
O1 O 0.340 0.151 0.811 1
O2 O 0.340 0.529 0.189 1
O3 O 0.396 0.079 0.317 1
O4 O 0.471 0.660 0.811 1
O5 O 0.763 0.079 0.683 1
O6 O 0.849 0.660 0.189 1
O7 O 0.921 0.237 0.317 1
O8 O 0.921 0.604 0.683 1
```